# 1
DFT (GGA-PBE) results for a geometry-optimized Y2AlCuP structure.

Output
- Total DFT energy (no corrections): -5.3882 eV/atom
- Space-group type: P4/mmm

a = 5.2389 Å, b = 5.2389 Å, c = 4.3753 Å
α = 90.00°, β = 90.00°, γ = 90.00°
Last column: nearest neighbours and their distance in Å.
Fractional coordinates of all 5 atoms:
Y1 0.0000 0.5000 0.0000  2 Cu 2.62
Y2 0.5000 0.0000 0.0000  2 Cu 2.62
Al1 0.0000 0.0000 0.5000  2 Cu 2.19
Cu1 0.0000 0.0000 0.0000  2 Al 2.19
P1 0.5000 0.5000 0.5000  8 Y 3.41, 4 Al 3.70

---

# 2
DFT (GGA-PBE) results for a geometry-optimized PaAlCu structure.

Output
- Total DFT energy (no corrections): -5.9016 eV/atom
- Space-group type: I4mm

a = 2.9885 Å, b = 2.9885 Å, c = 11.9465 Å
α = 90.00°, β = 90.00°, γ = 90.00°
Last column: nearest neighbours and their distance in Å.
Fractional coordinates of all 6 atoms:
Pa1 0.0000 0.0000 0.0000  4 Pa 2.99, 4 Cu 3.05, 4 Al 3.15
Pa2 0.5000 0.5000 0.5000  4 Pa 2.99, 4 Cu 3.05, 4 Al 3.15
Al1 0.0000 0.0000 0.3041  4 Cu 2.56
Al2 0.5000 0.5000 0.8042  4 Cu 2.56
Cu1 0.0000 0.0000 0.6839  4 Al 2.56
Cu2 0.5000 0.5000 0.1839  4 Al 2.56

---

# 3
DFT (GGA-PBE) results for a geometry-optimized PaAlCu2 structure.

Output
- Total DFT energy (no corrections): -5.4656 eV/atom
- Space-group type: P4/mmm

a = 2.9624 Å, b = 2.9624 Å, c = 7.3491 Å
α = 90.00°, β = 90.00°, γ = 90.00°
Last column: nearest neighbours and their distance in Å.
Fractional coordinates of all 4 atoms:
Pa1 0.0000 0.0000 0.0000  4 Pa 2.96, 8 Cu 3.03
Al1 0.0000 0.0000 0.5000  8 Cu 2.57
Cu1 0.5000 0.5000 0.2977  4 Al 2.57
Cu2 0.5000 0.5000 0.7023  4 Al 2.57

---

# 4
DFT (GGA-PBE) results for a geometry-optimized PaAl3Cu structure.

Output
- Space-group type: C2/m
- Distance to the lowest polymorph of the same formula: 86.7 meV/atom

a = 6.9112 Å, b = 6.9112 Å, c = 6.7159 Å
α = 106.82°, β = 106.82°, γ = 36.01°
Last column: nearest neighbours and their distance in Å.
Fractional coordinates of all 10 atoms:
Pa1 0.1383 0.1383 0.4861  8 Al 3.03-3.22, 4 Cu 3.05-3.13
Pa2 0.8617 0.8617 0.5139  8 Al 3.03-3.22, 4 Cu 3.05-3.13
Al1 0.0702 0.0702 0.8924  2 Cu 2.48, 4 Al 2.67-2.76
Al2 0.2705 0.2705 0.1636  1 Cu 2.50, 1 Al 2.71
Al3 0.3689 0.3689 0.8374  1 Cu 2.57, 5 Al 2.76-2.86
Al4 0.6311 0.6311 0.1626  1 Cu 2.57, 5 Al 2.76-2.86
Al5 0.7295 0.7295 0.8364  1 Cu 2.50, 1 Al 2.71
Al6 0.9298 0.9298 0.1076  2 Cu 2.48, 4 Al 2.67-2.76
Cu1 0.4701 0.4701 0.3036  4 Al 2.48-2.57, 1 Cu 2.51
Cu2 0.5299 0.5299 0.6964  4 Al 2.48-2.57, 1 Cu 2.51

---

# 5
DFT (GGA-PBE) results for a geometry-optimized PaAl8Cu4 structure.

Output
- Total DFT energy (no corrections): -4.5393 eV/atom
- Space-group type: I4/mmm

a = 6.7753 Å, b = 6.7753 Å, c = 6.7753 Å
α = 98.13°, β = 98.13°, γ = 135.83°
Last column: nearest neighbours and their distance in Å.
Fractional coordinates of all 13 atoms:
Pa1 0.0000 0.0000 0.0000  12 Al 3.08-3.20, 8 Cu 3.39
Al1 0.0000 0.3474 0.3474  4 Cu 2.70, 5 Al 2.71-2.85
Al2 0.0000 0.6526 0.6526  4 Cu 2.70, 5 Al 2.71-2.85
Al3 0.2822 0.5000 0.7822  4 Cu 2.58, 6 Al 2.73-2.85
Al4 0.3474 0.0000 0.3474  4 Cu 2.70, 5 Al 2.71-2.85
Al5 0.5000 0.2822 0.7822  4 Cu 2.58, 6 Al 2.73-2.85
Al6 0.5000 0.7178 0.2178  4 Cu 2.58, 6 Al 2.73-2.85
Al7 0.6526 0.0000 0.6526  4 Cu 2.70, 5 Al 2.71-2.85
Al8 0.7178 0.5000 0.2178  4 Cu 2.58, 6 Al 2.73-2.85
Cu1 0.0000 0.0000 0.5000  2 Cu 2.55, 8 Al 2.58-2.70
Cu2 0.0000 0.5000 0.0000  2 Cu 2.55, 8 Al 2.58-2.70
Cu3 0.5000 0.0000 0.0000  2 Cu 2.55, 8 Al 2.58-2.70
Cu4 0.5000 0.5000 0.5000  2 Cu 2.55, 8 Al 2.58-2.70

---

# 6
DFT (GGA-PBE) results for a geometry-optimized Pa2AlCu structure.

Output
- Space-group type: P4/mmm
- Distance to the lowest polymorph of the same formula: 0.0 meV/atom

a = 3.0600 Å, b = 3.0600 Å, c = 8.6673 Å
α = 90.00°, β = 90.00°, γ = 90.00°
Last column: nearest neighbours and their distance in Å.
Fractional coordinates of all 4 atoms:
Pa1 0.0000 0.0000 0.2396  4 Cu 3.00, 4 Pa 3.06, 4 Al 3.13
Pa2 0.0000 0.0000 0.7604  4 Cu 3.00, 4 Pa 3.06, 4 Al 3.13
Al1 0.5000 0.5000 0.5000  4 Al 3.06, 8 Pa 3.13
Cu1 0.5000 0.5000 0.0000  8 Pa 3.00, 4 Cu 3.06